## ZnMoH2 (PBE)

Data for a relaxed structure of ZnMoH2.

Unit cell a=2.7538 b=2.7538 c=19.3237 alpha=90.00 beta=90.00 gamma=120.00
Space group R-3m (No. 166, hexagonal axes)
Inequivalent atoms, fractional coordinates:
Zn: 0.0000 0.0000 0.0000 x3
Mo: 0.0000 0.0000 0.5000 x3
H: 0.0000 0.0000 0.1089 x6

Summary:
E ... -4.4877 eV/atom
Magnetic moment ... 0.00 μB per formula unit
Offset from the most stable computed form ... 4.9 kJ per mole of atoms